<P>
ZrWCl GGA-PBE optimized geometry; DOS at the Fermi energy = 2.574 states/eV per cell
1.0
-1.631 -3.795 -1.218
2.167 -2.486 -2.769
1.816 -3.660 1.359
Cl W Zr
1 1 1
Cartesian
0.588 -2.485 -0.657
0.000 0.000 0.000
1.176 -4.970 -1.314

---

<Q>
ZrWCl GGA-PBE optimized geometry; DOS at the Fermi energy = 2.702 states/eV per cell
1.0
8.427 0.124 0.000
7.367 4.093 0.000
-7.897 -2.109 2.054
Cl W Zr
1 1 1
Cartesian
0.769 0.205 0.000
4.641 1.239 0.000
10.383 2.773 0.000

---

From most stable to least stable, the computed energies give <Q>, <P>.

---

<P>
ZrWCl GGA-PBE optimized geometry; DOS at the Fermi energy = 2.974 states/eV per cell
1.0
4.582 0.000 0.000
2.291 3.968 0.000
2.291 1.323 3.741
Cl W Zr
1 1 1
Cartesian
0.000 0.000 0.000
4.582 2.645 1.870
2.291 1.323 0.935

---

<Q>
ZrWCl GGA-PBE optimized geometry; DOS at the Fermi energy = 3.045 states/eV per cell
1.0
3.024 0.000 0.000
-1.512 2.618 0.000
0.000 0.000 7.895
Cl W Zr
1 1 1
Cartesian
0.000 0.000 7.361
1.512 0.873 2.965
0.000 1.746 5.464

---

From most stable to least stable, the computed energies give <Q>, <P>.

---

<P>
ZrWCl GGA-PBE optimized geometry; DOS at the Fermi energy = 2.964 states/eV per cell
1.0
-3.607 -2.621 -1.177
3.876 -1.968 1.539
-1.010 0.157 2.746
Cl W Zr
1 1 1
Cartesian
-0.139 0.022 0.378
-1.269 -2.379 0.154
0.667 -2.075 2.576

---

<Q>
ZrWCl GGA-PBE optimized geometry; DOS at the Fermi energy = 2.936 states/eV per cell
1.0
8.059 -0.276 0.397
0.460 2.966 0.062
7.599 0.813 3.156
Cl W Zr
1 1 1
Cartesian
15.086 0.628 3.422
11.109 1.264 2.508
5.579 2.148 1.238

---

From most stable to least stable, the computed energies give <Q>, <P>.

---

<P>
Zr2WCl GGA-PBE optimized geometry; DOS at the Fermi energy = 4.691 states/eV per cell
1.0
3.030 -0.008 0.000
-1.132 2.811 0.000
0.000 0.000 10.479
Cl W Zr
1 1 2
Cartesian
0.000 0.000 4.631
0.949 1.401 8.378
0.000 0.000 0.035
0.949 1.401 2.675

---

<Q>
Zr2WCl GGA-PBE optimized geometry; DOS at the Fermi energy = 1.849 states/eV per cell
1.0
3.331 -0.134 -0.151
0.171 3.329 -0.151
1.155 1.054 8.230
Cl W Zr
1 1 2
Cartesian
1.164 1.062 1.982
3.493 3.187 5.947
1.835 1.674 7.716
1.649 1.505 4.479

---

From most stable to least stable, the computed energies give <Q>, <P>.

---

<P>
Zr3WCl GGA-PBE optimized geometry; DOS at the Fermi energy = 9.967 states/eV per cell
1.0
-0.760 2.362 -4.542
-3.021 -3.914 -1.530
-4.134 2.427 1.954
Zr W Cl
3 1 1
Cartesian
-1.511 -1.957 -0.765
-2.067 1.213 0.977
-0.380 1.181 -2.271
0.000 0.000 0.000
-3.958 0.437 -2.059

---

<Q>
Zr3WCl GGA-PBE optimized geometry; DOS at the Fermi energy = 7.693 states/eV per cell
1.0
4.730 0.000 0.000
0.000 4.730 0.000
0.000 0.000 4.730
Zr W Cl
3 1 1
Cartesian
0.000 2.365 0.000
0.000 0.000 2.365
2.365 0.000 0.000
2.365 2.365 2.365
0.000 0.000 0.000

---

From most stable to least stable, the computed energies give <Q>, <P>.

---

<P>
Y5Cl GGA-PBE optimized geometry; DOS at the Fermi energy = 6.925 states/eV per cell
1.0
1.810 5.807 -0.008
-1.810 5.807 -0.008
0.000 2.468 8.599
Y Cl
5 1
Cartesian
0.000 10.092 5.298
0.000 4.670 2.362
0.000 6.945 6.769
0.000 1.612 3.611
0.000 7.883 0.315
0.000 10.922 0.227

---

<Q>
Y5Cl GGA-PBE optimized geometry; DOS at the Fermi energy = 5.535 states/eV per cell
1.0
-1.658 -4.248 4.827
-0.664 2.163 6.243
-6.022 0.319 2.781
Y Cl
5 1
Cartesian
-2.086 -0.441 3.463
-5.195 -1.100 8.625
-2.240 -1.256 7.260
-4.382 0.986 6.256
-4.870 -2.161 5.561
0.000 0.000 0.000

---

From most stable to least stable, the computed energies give <P>, <Q>.

---

<P>
Y2ZnCl GGA-PBE optimized geometry; DOS at the Fermi energy = 3.330 states/eV per cell
1.0
5.926 0.014 -0.004
4.902 3.330 -0.004
0.003 0.001 4.806
Cl Y Zn
1 2 1
Cartesian
8.086 2.497 4.199
10.702 3.305 4.197
2.736 0.845 1.800
5.553 1.715 1.797

---

<Q>
Y2ZnCl GGA-PBE optimized geometry; DOS at the Fermi energy = 3.353 states/eV per cell
1.0
-2.634 4.205 5.791
-6.640 2.283 2.976
4.725 -5.311 -2.760
Cl Y Zn
1 2 1
Cartesian
-2.859 -0.184 1.906
-0.386 0.270 0.365
-1.745 1.400 4.154
-4.195 2.934 3.965

---

From most stable to least stable, the computed energies give <P>, <Q>.

---

<P>
Y2ZnCl GGA-PBE optimized geometry; DOS at the Fermi energy = 7.885 states/eV per cell
1.0
-3.855 -4.472 -0.424
4.467 -3.756 -0.992
0.875 -5.260 6.194
Y Zn Cl
4 2 2
Cartesian
-1.604 -4.547 1.162
2.500 -4.254 0.873
0.919 -7.058 4.107
1.159 -11.117 3.414
0.000 0.000 0.000
-1.337 -6.923 2.531
0.306 -4.114 -0.708
2.824 -6.565 2.247

---

<Q>
Y2ZnCl GGA-PBE optimized geometry; DOS at the Fermi energy = 5.887 states/eV per cell
1.0
-4.830 0.702 2.007
-4.229 -0.264 -3.146
-3.319 -4.085 0.378
Cl Y Zn
1 2 1
Cartesian
-6.189 -1.824 -0.381
0.000 0.000 0.000
-9.284 -2.736 -0.571
-3.095 -0.912 -0.190

---

From most stable to least stable, the computed energies give <P>, <Q>.

---

<P>
Y2ZnCl GGA-PBE optimized geometry; DOS at the Fermi energy = 2.291 states/eV per cell
1.0
-0.528 3.908 0.253
-2.908 1.463 2.240
3.278 2.018 6.409
Cl Y Zn
1 2 1
Cartesian
-0.119 5.541 6.676
-3.414 5.372 2.521
-0.101 3.693 4.423
-0.040 1.847 2.225

---

<Q>
Y2ZnCl GGA-PBE optimized geometry; DOS at the Fermi energy = 2.679 states/eV per cell
1.0
-2.788 1.394 -9.716
-0.105 -1.058 -10.148
-3.494 -2.177 -9.336
Cl Y Zn
1 2 1
Cartesian
-4.701 -1.356 -21.498
-0.052 -0.015 -0.238
-1.581 -0.456 -7.229
-3.244 -0.936 -14.835

---

From most stable to least stable, the computed energies give <P>, <Q>.

---

<P>
Y2ZnCl GGA-PBE optimized geometry; DOS at the Fermi energy = 4.477 states/eV per cell
1.0
3.533 0.000 0.000
0.000 6.310 0.000
0.000 0.000 4.706
Cl Y Zn
1 2 1
Cartesian
0.000 3.155 2.353
0.000 0.000 0.000
1.767 3.155 0.000
1.767 0.000 2.353

---

<Q>
Y2ZnCl GGA-PBE optimized geometry; DOS at the Fermi energy = 3.617 states/eV per cell
1.0
-1.216 -2.970 -1.688
2.145 -1.768 -2.329
3.219 -6.356 4.967
Y Zn Cl
2 1 1
Cartesian
2.498 -5.172 3.404
1.028 -2.758 0.217
3.834 -9.508 2.280
2.081 -5.559 0.491

---

From most stable to least stable, the computed energies give <Q>, <P>.

---

<P>
Y2ZnCl GGA-PBE optimized geometry; DOS at the Fermi energy = 3.782 states/eV per cell
1.0
-1.892 -3.718 3.365
-2.710 -2.199 -4.068
2.119 -2.494 -0.743
Cl Y Zn
1 2 1
Cartesian
-0.295 -2.346 -2.405
0.000 0.000 0.000
-2.301 -2.958 -0.351
0.113 -3.106 1.311

---

<Q>
Y2ZnCl GGA-PBE optimized geometry; DOS at the Fermi energy = 3.444 states/eV per cell
1.0
0.382 -4.095 -3.027
-3.798 -1.166 -3.209
0.636 0.594 -5.032
Y Zn Cl
2 1 1
Cartesian
-0.695 -1.167 -2.817
-2.085 -3.500 -8.451
-1.390 -2.334 -5.634
0.000 0.000 0.000

---

<R>
Y2ZnCl GGA-PBE optimized geometry; DOS at the Fermi energy = 4.731 states/eV per cell
1.0
-1.573 0.390 3.111
-3.130 0.008 -1.584
-0.507 -9.642 0.953
Cl Y Zn
1 2 1
Cartesian
-2.769 -7.745 1.549
-0.500 -9.497 0.939
-2.482 -2.280 1.009
-0.220 -4.186 0.414

---

<S>
Y2ZnCl GGA-PBE optimized geometry; DOS at the Fermi energy = 3.221 states/eV per cell
1.0
3.421 0.000 0.000
0.000 3.421 0.000
0.000 0.000 7.996
Cl Y Zn
1 2 1
Cartesian
1.711 1.711 5.997
0.000 0.000 0.188
0.000 0.000 3.809
1.711 1.711 1.999

---

From most stable to least stable, the computed energies give <S>, <P>, <R>, <Q>.

---

<P>
Y2ZnCl GGA-PBE optimized geometry; DOS at the Fermi energy = 3.427 states/eV per cell
1.0
-2.424 0.730 -4.749
-1.677 -5.098 -0.398
-0.984 4.041 3.415
Cl Y Zn
1 2 1
Cartesian
-2.356 -1.620 0.222
-0.075 -0.080 -0.094
-1.976 -2.104 -2.479
-2.729 1.294 -1.954

---

<Q>
Y2ZnCl GGA-PBE optimized geometry; DOS at the Fermi energy = 2.977 states/eV per cell
1.0
-2.934 -0.500 -1.806
-0.409 -3.246 1.563
-4.207 3.370 5.902
Cl Y Zn
1 2 1
Cartesian
-4.929 -0.157 4.696
-0.449 -2.322 1.371
-2.268 -0.862 3.924
-2.621 -0.219 0.963

---

From most stable to least stable, the computed energies give <Q>, <P>.

---

<P>
YZn3Cl GGA-PBE optimized geometry; DOS at the Fermi energy = 4.172 states/eV per cell
1.0
-0.610 -3.710 -3.275
4.428 1.065 -2.031
2.210 -3.156 3.165
Y Zn Cl
1 3 1
Cartesian
3.014 -2.901 -1.070
2.214 0.532 -1.015
1.105 -1.578 1.582
-0.305 -1.855 -1.637
0.000 0.000 0.000

---

<Q>
YZn3Cl GGA-PBE optimized geometry; DOS at the Fermi energy = 4.171 states/eV per cell
1.0
5.836 0.000 0.000
0.000 5.836 0.000
0.000 0.000 5.836
Y Zn Cl
1 3 1
Cartesian
0.000 0.000 0.000
0.000 2.918 0.000
0.000 0.000 2.918
2.918 0.000 0.000
2.918 2.918 2.918

---

From most stable to least stable, the computed energies give <P>, <Q>.

---

<P>
YZnCl3 GGA-PBE optimized geometry; DOS at the Fermi energy = 5.103 states/eV per cell
1.0
-0.499 -0.427 4.885
0.010 -4.910 -0.428
4.904 -0.033 0.498
Y Zn Cl
1 1 3
Cartesian
2.208 -2.685 2.477
0.000 0.000 0.000
0.005 -2.455 -0.214
2.452 -0.017 0.249
-0.249 -0.213 2.442

---

<Q>
YZnCl3 GGA-PBE optimized geometry; DOS at the Fermi energy = 0.000 states/eV per cell
1.0
-3.155 2.667 3.373
2.450 -2.324 4.129
3.534 3.992 0.150
Y Zn Cl
1 1 3
Cartesian
0.000 0.000 0.000
1.414 2.168 3.826
1.225 -1.162 2.064
1.767 1.996 0.075
-1.578 1.333 1.687

---

From most stable to least stable, the computed energies give <Q>, <P>.